[1]
Below is Ta2CrCl after structural relaxation, with properties calculated at the PBE-GGA level.

ΔE_f (raw)   0.497 eV per atom
Excess energy over the best structure of this formula in the dataset   518.9 meV per atom
Crystal system   monoclinic

Cell and atoms, written as extended XYZ:
```
4
Lattice="5.029 -1.479 0.000 5.029 1.479 0.000 -2.392 0.000 4.373" Properties=species:S:1:pos:R:3 pbc="T T T"
Ta 0.000 0.000 0.000
Ta 0.382 0.000 3.105
Cr 3.407 0.000 1.951
Cl 6.561 0.000 1.423
```

[2]
Below is PmDy6Ho2Sc after structural relaxation, with properties calculated at the PBE-GGA level.

Energy of formation   128 meV/atom
Crystal system   monoclinic

Cell and atoms, written as extended XYZ:
```
20
Lattice="4.540 -7.424 0.000 4.540 7.424 0.000 -1.063 0.000 9.291" Properties=species:S:1:pos:R:3 pbc="T T T"
Pm 3.743 7.054 6.968
Pm 4.274 -7.054 2.323
Dy 1.829 4.137 6.402
Dy 3.939 4.674 0.515
Dy 4.609 4.674 4.130
Dy 2.703 1.625 8.228
Dy 5.656 4.137 7.535
Dy 4.782 1.625 5.709
Dy 3.235 -1.625 3.582
Dy 2.361 -4.137 1.756
Dy 5.313 -1.625 1.063
Dy 3.407 -4.674 5.161
Dy 4.078 -4.674 8.776
Dy 6.187 -4.137 2.890
Ho 1.735 0.769 5.102
Ho 2.266 -0.769 0.457
Ho 5.751 0.769 8.834
Ho 6.282 -0.769 4.189
Sc 4.274 1.264 2.323
Sc 3.743 -1.264 6.968
```

[3]
Below is BaYAl2 after structural relaxation, with properties calculated at the PBE-GGA level.

Excess energy over the best structure of this formula in the dataset   207.2 meV per atom
Energy of formation   -23 meV/atom
Crystal system   tetragonal

Cell and atoms, written as extended XYZ:
```
4
Lattice="3.539 0.000 0.000 0.000 3.539 0.000 0.000 0.000 9.229" Properties=species:S:1:pos:R:3 pbc="T T T"
Ba 0.000 0.000 0.000
Y 1.770 1.770 3.414
Al 0.000 0.000 5.358
Al 1.770 1.770 6.682
```

[4]
Below is B5C7 after structural relaxation, with properties calculated at the PBE-GGA level.

Excess energy over the best structure of this formula in the dataset   117.8 meV per atom
Energy of formation   376 meV/atom
Crystal system   trigonal

Cell and atoms, written as extended XYZ:
```
12
Lattice="2.577 0.000 0.000 -1.288 2.232 0.000 0.000 0.000 13.654" Properties=species:S:1:pos:R:3 pbc="T T T"
B 0.000 0.000 0.000
B 0.000 0.000 1.696
B 0.000 1.488 2.785
B 0.000 1.488 10.804
B 1.288 0.744 4.983
C 0.000 0.000 7.094
C 0.000 0.000 8.702
C 0.000 1.488 4.324
C 0.000 1.488 9.178
C 1.288 0.744 6.627
C 1.288 0.744 11.499
C 1.288 0.744 12.904
```

[5]
Below is Ac8Pt3AuI3 after structural relaxation, with properties calculated at the PBE-GGA level.

ΔE_f (raw)   -1.041 eV per atom
Crystal system   monoclinic

Cell and atoms, written as extended XYZ:
```
15
Lattice="7.849 -4.524 0.000 7.849 4.524 0.000 -5.238 0.000 8.360" Properties=species:S:1:pos:R:3 pbc="T T T"
Ac 3.870 2.359 5.795
Ac 0.004 0.000 5.780
Ac 2.500 0.000 2.565
Ac 6.591 2.359 2.566
Ac 3.870 -2.359 5.795
Ac 7.961 0.000 5.795
Ac 10.457 0.000 2.580
Ac 6.591 -2.359 2.566
Pt -2.619 0.000 4.180
Pt 1.306 2.262 4.180
Pt 1.306 -2.262 4.180
Au 5.230 0.000 4.180
I 3.925 2.262 0.000
I 3.925 -2.262 0.000
I 7.849 0.000 0.000
```

[6]
Below is MgTcIr after structural relaxation, with properties calculated at the PBE-GGA level.

Excess energy over the best structure of this formula in the dataset   86.7 meV per atom
Energy of formation   -109 meV/atom
Crystal system   triclinic

Cell and atoms, written as extended XYZ:
```
6
Lattice="2.808 0.000 0.000 -0.972 4.973 0.000 -0.071 -1.965 6.798" Properties=species:S:1:pos:R:3 pbc="T T T"
Mg 0.089 1.389 0.804
Mg 1.677 1.620 5.994
Tc -0.100 0.370 3.482
Tc 1.865 2.638 3.316
Ir 0.406 4.061 1.559
Ir 1.359 -1.053 5.239
```

[7]
Below is HoTmMgTi after structural relaxation, with properties calculated at the PBE-GGA level.

Energy of formation   146 meV/atom
Crystal system   cubic

Cell and atoms, written as extended XYZ:
```
4
Lattice="0.000 3.688 3.688 3.688 0.000 3.688 3.688 3.688 0.000" Properties=species:S:1:pos:R:3 pbc="T T T"
Ho 0.000 0.000 0.000
Tm 3.688 3.688 3.688
Mg 5.532 5.532 5.532
Ti 1.844 1.844 1.844
```

[8]
Below is SmHoZnHg after structural relaxation, with properties calculated at the PBE-GGA level.

Excess energy over the best structure of this formula in the dataset   0.0 meV per atom
Energy of formation   -407 meV/atom
Crystal system   tetragonal

Cell and atoms, written as extended XYZ:
```
4
Lattice="3.630 0.000 0.000 0.000 3.630 0.000 0.000 0.000 7.512" Properties=species:S:1:pos:R:3 pbc="T T T"
Sm 0.000 0.000 0.000
Ho 0.000 0.000 3.501
Zn 1.815 1.815 1.840
Hg 1.815 1.815 5.399
```

[9]
Below is CoSiTc2 after structural relaxation, with properties calculated at the PBE-GGA level.

ΔE_f (raw)   0.013 eV per atom
Crystal system   trigonal

Cell and atoms, written as extended XYZ:
```
4
Lattice="1.367 0.789 8.173 -1.367 0.789 8.173 0.000 -1.578 8.173" Properties=species:S:1:pos:R:3 pbc="T T T"
Co 0.000 0.000 0.000
Si 0.000 0.000 12.259
Tc 0.000 0.000 6.122
Tc 0.000 0.000 18.396
```

[10]
Below is LaGdGaPd after structural relaxation, with properties calculated at the PBE-GGA level.

Energy of formation   -635 meV/atom
Crystal system   cubic

Cell and atoms, written as extended XYZ:
```
4
Lattice="0.000 3.668 3.668 3.668 0.000 3.668 3.668 3.668 0.000" Properties=species:S:1:pos:R:3 pbc="T T T"
La 0.000 0.000 0.000
Gd 3.668 3.668 3.668
Ga 5.502 5.502 5.502
Pd 1.834 1.834 1.834
```

[11]
Below is FeAgBr2 after structural relaxation, with properties calculated at the PBE-GGA level.

ΔE_f (raw)   0.177 eV per atom
Excess energy over the best structure of this formula in the dataset   204.5 meV per atom
Crystal system   trigonal

Cell and atoms, written as extended XYZ:
```
4
Lattice="2.005 1.158 8.032 -2.005 1.158 8.032 0.000 -2.315 8.032" Properties=species:S:1:pos:R:3 pbc="T T T"
Fe 0.000 0.000 0.000
Ag 0.000 0.000 12.048
Br 0.000 0.000 2.334
Br 0.000 0.000 21.762
```

[12]
Below is Tb5Tm2Sb4 after structural relaxation, with properties calculated at the PBE-GGA level.

ΔE_f (raw)   -0.458 eV per atom
Crystal system   monoclinic

Cell and atoms, written as extended XYZ:
```
11
Lattice="12.740 -2.007 0.000 12.740 2.007 0.000 -0.173 0.000 6.984" Properties=species:S:1:pos:R:3 pbc="T T T"
Tb 0.000 0.000 0.000
Tb 6.708 0.000 1.591
Tb 8.975 0.000 5.664
Tb 16.332 0.000 1.320
Tb 18.599 0.000 5.393
Tm 10.350 0.000 2.120
Tm 14.957 0.000 4.864
Sb 4.260 0.000 3.596
Sb 11.860 0.000 4.823
Sb 13.448 0.000 2.161
Sb 21.048 0.000 3.388
```

[13]
Below is BeAgCl after structural relaxation, with properties calculated at the PBE-GGA level.

ΔE_f (raw)   0.082 eV per atom
Excess energy over the best structure of this formula in the dataset   294.5 meV per atom
Crystal system   tetragonal

Cell and atoms, written as extended XYZ:
```
3
Lattice="-1.464 1.464 6.446 1.464 -1.464 6.446 1.464 1.464 -6.446" Properties=species:S:1:pos:R:3 pbc="T T T"
Be 0.000 0.000 0.000
Ag 0.000 0.000 4.806
Cl 0.000 0.000 7.707
```

[14]
Below is AcPr2Hg after structural relaxation, with properties calculated at the PBE-GGA level.

Excess energy over the best structure of this formula in the dataset   208.6 meV per atom
Energy of formation   -22 meV/atom
Crystal system   cubic

Cell and atoms, written as extended XYZ:
```
4
Lattice="0.000 4.048 4.048 4.048 0.000 4.048 4.048 4.048 0.000" Properties=species:S:1:pos:R:3 pbc="T T T"
Ac 0.000 0.000 0.000
Pr 2.024 2.024 2.024
Pr 6.073 6.073 6.073
Hg 4.048 4.048 4.048
```

[15]
Below is SrLaMgRuO6 after structural relaxation, with properties calculated at the PBE-GGA level.

ΔE_f (raw)   -2.393 eV per atom
Crystal system   monoclinic

Cell and atoms, written as extended XYZ:
```
20
Lattice="5.616 0.000 0.000 0.000 5.672 0.000 -5.600 0.000 7.950" Properties=species:S:1:pos:R:3 pbc="T T T"
Sr 0.000 1.233 0.000
Sr -2.800 4.439 3.975
La 0.089 1.652 3.967
La -2.711 4.019 7.942
Mg -2.762 1.394 5.961
Mg 0.038 4.278 1.986
Ru 2.844 1.414 1.989
Ru 0.044 4.258 5.964
O -2.313 1.344 3.927
O -5.113 4.328 7.902
O 2.483 1.536 0.054
O -0.317 4.136 4.029
O 1.252 0.267 2.313
O -1.548 5.404 6.288
O -1.153 2.703 6.263
O 1.647 2.969 2.288
O 1.168 0.196 5.637
O 3.968 5.476 1.662
O 4.380 2.630 1.714
O 1.580 3.041 5.689
```

[16]
Below is Y2TlCr after structural relaxation, with properties calculated at the PBE-GGA level.

Excess energy over the best structure of this formula in the dataset   122.4 meV per atom
Energy of formation   122 meV/atom
Crystal system   tetragonal

Cell and atoms, written as extended XYZ:
```
4
Lattice="-2.249 2.249 5.004 2.249 -2.249 5.004 2.249 2.249 -5.004" Properties=species:S:1:pos:R:3 pbc="T T T"
Y 0.000 0.000 0.000
Y 0.000 2.249 2.502
Tl 0.000 0.000 5.004
Cr 2.249 0.000 2.502
```

[17]
Below is Nb3S after structural relaxation, with properties calculated at the PBE-GGA level.

ΔE_f (raw)   -0.301 eV per atom
Crystal system   orthorhombic

Cell and atoms, written as extended XYZ:
```
4
Lattice="-1.668 3.969 2.599 1.668 -3.969 2.599 1.668 3.969 -2.599" Properties=species:S:1:pos:R:3 pbc="T T T"
Nb 0.000 0.000 0.000
Nb 1.668 2.301 0.214
Nb 0.000 1.668 2.813
S 1.668 0.000 1.872
```

Number 1: density of states at the Fermi level 3.240 states/eV per cell. Number 2: density of states at the Fermi level 27.337 states/eV per cell. Number 3: density of states at the Fermi level 3.998 states/eV per cell. Number 4: density of states at the Fermi level 1.505 states/eV per cell. Number 5: density of states at the Fermi level 8.602 states/eV per cell. Number 6: density of states at the Fermi level 3.858 states/eV per cell. Number 7: density of states at the Fermi level 7.668 states/eV per cell. Number 8: density of states at the Fermi level 4.016 states/eV per cell. Number 9: density of states at the Fermi level 4.627 states/eV per cell. Number 10: density of states at the Fermi level 3.461 states/eV per cell. Number 11: density of states at the Fermi level 2.721 states/eV per cell. Number 12: density of states at the Fermi level 11.224 states/eV per cell. Number 13: density of states at the Fermi level 0.801 states/eV per cell. Number 14: density of states at the Fermi level 5.692 states/eV per cell. Number 15: density of states at the Fermi level 0.023 states/eV per cell. Number 16: density of states at the Fermi level 3.565 states/eV per cell. Number 17: density of states at the Fermi level 4.034 states/eV per cell.